No. 1
# BeTeRh4

BeTeRh4 after structural relaxation (PBE, Alexandria via LeMat-Bulk).

Computed properties:
For the uncorrected energy, the calculation gives -5.65 eV per atom. Its formation energy from raw total energies is 0.39 eV/atom. As for the crystal system: cubic. As for the density of states at the Fermi level: 0.824 states/eV per atom.

Cell: 5.170 5.170 5.170 Å, 60.00 60.00 60.00°
Sites, in units of the cell vectors:
Be  0.000  0.000  0.000
Te  0.750  0.750  0.750
Rh  0.876  0.375  0.375
Rh  0.375  0.375  0.876
Rh  0.375  0.876  0.375
Rh  0.375  0.375  0.375

---

No. 2
# Sc2AlFe

Sc2AlFe after structural relaxation (PBE, Alexandria via LeMat-Bulk).

Computed properties:
For the uncorrected energy, the calculation gives -6.42 eV per atom. As for the crystal system: orthorhombic. As for the density of states at the Fermi level: 0.968 states/eV per atom. The formation enthalpy at 0 K is -0.20 eV/atom.

Cell: 5.590 5.590 4.678 Å, 65.27 65.27 32.46°
Sites, in units of the cell vectors:
Sc  0.958  0.958  0.041
Sc  0.755  0.755  0.745
Fe  0.241  0.241  0.259
Al  0.546  0.546  0.454

---

No. 3
# SrBiNO2

SrBiNO2 after structural relaxation (PBE, Alexandria via LeMat-Bulk).

Computed properties:
For the uncorrected energy, the calculation gives -4.48 eV per atom. Its formation energy from raw total energies is 0.28 eV/atom. As for the crystal system: tetragonal. As for the density of states at the Fermi level: 0.350 states/eV per atom.

Cell: 4.450 4.450 4.442 Å, 90.00 90.00 90.00°
Site moments in Bohr magnetons follow the coordinates.
Sites, in units of the cell vectors:
Sr  0.000  0.000  0.000  -0.01
Bi  0.500  0.500  0.500  -0.06
O  0.000  0.500  0.000  0.07
O  0.500  0.000  0.000  0.07
N  0.000  0.000  0.500  0.15